1.
The following is a DFT calculation (PBE-GGA) of a relaxed RbSnB crystal.

Structure (POSCAR):
```
RbSnB
1.0
12.7919 0.0000 0.0190
6.3713 2.4383 -3.2320
-6.3713 2.4383 3.2320
B Sn Rb
2 2 2
Direct
0.0091 0.4398 0.5602 B
0.9909 0.5602 0.4398 B
0.0802 0.2339 0.7661 Sn
0.9198 0.7661 0.2339 Sn
0.6491 0.2446 0.7554 Rb
0.3509 0.7554 0.2446 Rb
```

=====

2.
The following is a DFT calculation (PBE-GGA) of a relaxed LiNdBi crystal.

- E above lowest polymorph: 0.0000 eV per atom

Structure (POSCAR):
```
LiNdBi
1.0
4.4402 0.0000 -0.7998
0.0000 4.5127 0.0000
1.3897 0.0000 7.7347
Li Bi Nd
2 2 2
Direct
0.2499 0.2500 0.5000 Li
0.7501 0.7500 0.5000 Li
0.7495 0.2500 0.2682 Bi
0.2505 0.7500 0.7318 Bi
0.7504 0.2500 0.8475 Nd
0.2496 0.7500 0.1525 Nd
```

=====

3.
The following is a DFT calculation (PBE-GGA) of a relaxed TbEr2Tm6Th crystal.

Structure (POSCAR):
```
TbEr2Tm6Th
1.0
9.0310 -2.1125 -2.1923
0.8088 8.3702 -1.9199
0.8088 -2.2288 8.2933
Tm Tb Er Th
12 2 4 2
Direct
0.1189 0.7022 0.4939 Tm
0.3175 0.9731 0.4257 Tm
0.6825 0.0269 0.5743 Tm
0.1825 0.5743 0.0269 Tm
0.3811 0.5061 0.2978 Tm
0.0591 0.1215 0.7461 Tm
0.4409 0.2539 0.8785 Tm
0.5591 0.7461 0.1215 Tm
0.9409 0.8785 0.2539 Tm
0.6189 0.4939 0.7022 Tm
0.8811 0.2978 0.5061 Tm
0.8175 0.4257 0.9731 Tm
0.7500 0.0235 0.9765 Tb
0.2500 0.9765 0.0235 Tb
0.9541 0.7067 0.8087 Er
0.0459 0.2933 0.1913 Er
0.5459 0.1913 0.2933 Er
0.4541 0.8087 0.7067 Er
0.2500 0.4046 0.5954 Th
0.7500 0.5954 0.4046 Th
```

=====

Values of DFT formation energy, in order: 28.93 -68.59 13.99, all in kJ/mol of atoms.